(1)
Below is YCo2Te2 after structural relaxation, with properties calculated at the PBE level.

Cell lengths 4.004, 4.004, 12.565 Å; angles 90.00, 90.00, 90.00 degrees
Space group I4/mmm (No. 139)
Asymmetric unit:
Y 0.000 0.000 0.000 x2
Co 0.000 0.500 0.250 x4
Te 0.000 0.000 0.368 x4

Results
**ΔE_f (raw)**: -0.35 eV per atom
**Energy**: -5.74 eV per atom
**Magnetization**: 3.10 μB per cell

---

(2)
Below is YTmTl after structural relaxation, with properties calculated at the PBE level.

Cell lengths 5.2495, 5.2495, 3.6785 Å; angles 90.00, 90.00, 120.00 degrees
Space group P3m1 (No. 156)
Asymmetric unit:
Y 0.0000 0.0000 0.0000 x1
Tm 0.6667 0.3333 0.4972 x1
Tl 0.3333 0.6667 0.5103 x1

Results
**Energy**: -4.58 eV per atom
**Relative energy among the computed polymorphs**: 120 meV per atom
**Magnetization**: 0.00 μB per cell

---

(3)
Below is Ac5In2Bi after structural relaxation, with properties calculated at the PBE level.

Cell lengths 9.273, 9.273, 14.234 Å; angles 90.00, 90.00, 90.00 degrees
Space group I4/mcm (No. 140)
Asymmetric unit:
Ac 0.000 0.000 0.000 x4
Ac 0.158 0.342 0.147 x16
In 0.139 0.361 0.500 x8
Bi 0.000 0.000 0.250 x4

Results
**Energy**: -4.20 eV per atom
**Magnetization**: 0.00 μB per cell

---

(4)
Below is CsSiH5 after structural relaxation, with properties calculated at the PBE level.

Cell lengths 9.879, 7.490, 5.317 Å; angles 90.00, 90.00, 90.00 degrees
Space group Ima2 (No. 46)
Asymmetric unit:
Cs 0.000 0.000 0.000 x4
Si 0.250 0.085 0.500 x4
H 0.095 0.118 0.501 x8
H 0.250 0.249 0.752 x4
H 0.250 0.553 0.783 x4
H 0.250 0.556 0.214 x4

Results
**Energy**: -3.40 eV per atom
**Magnetization**: 0.00 μB per cell